Entry 1:
VASP calculation (PBE-GGA) on Cs3TbAg2Cl9 after structural relaxation.

## Properties
- Density of states at the Fermi level: 6.86 states/eV per cell
- Space-group type: P-3m1 (164)

Unit cell a=7.5598 b=7.5598 c=9.3540 alpha=90.00 beta=90.00 gamma=120.00
With the nearest neighbours (Å) after each atom.
Fractional coordinates of all 15 atoms:
Cs: 0.0000 0.0000 0.0000  12 Cl 3.78-3.82
Cs: 0.3333 0.6667 0.6809  12 Cl 3.70-3.90
Cs: 0.6667 0.3333 0.3191  12 Cl 3.70-3.90
Tb: 0.0000 0.0000 0.5000  6 Cl 2.65
Ag: 0.3333 0.6667 0.1525  6 Cl 2.61-2.79
Ag: 0.6667 0.3333 0.8475  6 Cl 2.61-2.79
Cl: 0.0000 0.5000 0.0000  2 Ag 2.61
Cl: 0.1657 0.3314 0.3367  1 Tb 2.65, 1 Ag 2.79
Cl: 0.1657 0.8343 0.3367  1 Tb 2.65, 1 Ag 2.79
Cl: 0.3314 0.1657 0.6633  1 Tb 2.65, 1 Ag 2.79
Cl: 0.5000 0.0000 0.0000  2 Ag 2.61
Cl: 0.5000 0.5000 0.0000  2 Ag 2.61
Cl: 0.6686 0.8343 0.3367  1 Tb 2.65, 1 Ag 2.79
Cl: 0.8343 0.1657 0.6633  1 Tb 2.65, 1 Ag 2.79
Cl: 0.8343 0.6686 0.6633  1 Tb 2.65, 1 Ag 2.79



Entry 2:
VASP calculation (PBE-GGA) on CsTbAgCl5 after structural relaxation.

## Properties
- Density of states at the Fermi level: 0.00 states/eV per cell
- Space-group type: C2/c (15)

Unit cell a=7.8153 b=7.8153 c=10.2652 alpha=101.81 beta=101.81 gamma=109.06
With the nearest neighbours (Å) after each atom.
Fractional coordinates of all 16 atoms:
Cs: 0.1604 0.8396 0.7500  7 Cl 3.50-3.75
Cs: 0.8396 0.1604 0.2500  7 Cl 3.50-3.75
Tb: 0.5000 0.5000 0.0000  6 Cl 2.66-2.68
Tb: 0.5000 0.5000 0.5000  6 Cl 2.66-2.68
Ag: 0.1867 0.8133 0.2500  4 Cl 2.61-2.64
Ag: 0.8133 0.1867 0.7500  4 Cl 2.61-2.64
Cl: 0.1410 0.2618 0.9313  1 Ag 2.64, 1 Tb 2.66
Cl: 0.2128 0.6008 0.4131  1 Ag 2.61, 1 Tb 2.66
Cl: 0.2618 0.1410 0.4313  1 Ag 2.64, 1 Tb 2.66
Cl: 0.3992 0.7872 0.0869  1 Ag 2.61, 1 Tb 2.66
Cl: 0.4385 0.5615 0.7500  2 Tb 2.68
Cl: 0.5615 0.4385 0.2500  2 Tb 2.68
Cl: 0.6008 0.2128 0.9131  1 Ag 2.61, 1 Tb 2.66
Cl: 0.7382 0.8590 0.5687  1 Ag 2.64, 1 Tb 2.66
Cl: 0.7872 0.3992 0.5869  1 Ag 2.61, 1 Tb 2.66
Cl: 0.8590 0.7382 0.0687  1 Ag 2.64, 1 Tb 2.66



Entry 3:
VASP calculation (PBE-GGA) on CsTbAg2Cl6 after structural relaxation.

## Properties
- Density of states at the Fermi level: 0.00 states/eV per cell
- Space-group type: R3 (146)

Unit cell a=7.8109 b=7.8109 c=7.8109 alpha=54.90 beta=54.90 gamma=54.90
With the nearest neighbours (Å) after each atom.
Fractional coordinates of all 10 atoms:
Cs: 0.0000 0.0000 0.0000  6 Cl 3.38-3.67
Tb: 0.4632 0.4632 0.4632  6 Cl 2.67-2.69
Ag: 0.2689 0.2689 0.2689  6 Cl 2.77-2.91
Ag: 0.7920 0.7920 0.7920  6 Cl 2.75-2.88
Cl: 0.0557 0.5782 0.4899  1 Tb 2.67, 2 Ag 2.75-2.91
Cl: 0.2126 0.5206 0.8603  1 Tb 2.69, 2 Ag 2.77-2.88
Cl: 0.4899 0.0557 0.5782  1 Tb 2.67, 2 Ag 2.75-2.91
Cl: 0.5206 0.8603 0.2126  1 Tb 2.69, 2 Ag 2.77-2.88
Cl: 0.5782 0.4899 0.0557  1 Tb 2.67, 2 Ag 2.75-2.91
Cl: 0.8603 0.2126 0.5206  1 Tb 2.69, 2 Ag 2.77-2.88



Entry 4:
VASP calculation (PBE-GGA) on CsTcAgCl6 after structural relaxation.

## Properties
- Space-group type: P-31c (163)

Unit cell a=6.9284 b=6.9284 c=14.9000 alpha=90.00 beta=90.00 gamma=120.00
With the nearest neighbours (Å) after each atom.
Fractional coordinates of all 18 atoms:
Cs: 0.0000 0.0000 0.0000  6 Cl 3.51
Cs: 0.0000 0.0000 0.5000  6 Cl 3.51
Tc: 0.3333 0.6667 0.2500  6 Cl 2.38
Tc: 0.6667 0.3333 0.7500  6 Cl 2.38
Ag: 0.3333 0.6667 0.7500  6 Cl 2.79
Ag: 0.6667 0.3333 0.2500  6 Cl 2.79
Cl: 0.0445 0.3960 0.1577  1 Tc 2.38
Cl: 0.0445 0.6485 0.3423  1 Tc 2.38
Cl: 0.3515 0.3960 0.3423  1 Tc 2.38
Cl: 0.3515 0.9555 0.1577  1 Tc 2.38
Cl: 0.3960 0.0445 0.6577  1 Tc 2.38
Cl: 0.3960 0.3515 0.8423  1 Tc 2.38
Cl: 0.6040 0.6485 0.1577  1 Tc 2.38
Cl: 0.6040 0.9555 0.3423  1 Tc 2.38
Cl: 0.6485 0.0445 0.8423  1 Tc 2.38
Cl: 0.6485 0.6040 0.6577  1 Tc 2.38
Cl: 0.9555 0.3515 0.6577  1 Tc 2.38
Cl: 0.9555 0.6040 0.8423  1 Tc 2.38



Entry 5:
VASP calculation (PBE-GGA) on Cs2TcAgCl6 after structural relaxation.

## Properties
- Density of states at the Fermi level: 12.07 states/eV per cell
- Space-group type: R-3m (166)

Unit cell a=13.2019 b=13.2019 c=13.2019 alpha=32.66 beta=32.66 gamma=32.66
With the nearest neighbours (Å) after each atom.
Fractional coordinates of all 20 atoms:
Cs: 0.1253 0.1253 0.1253  12 Cl 3.72-3.83
Cs: 0.2920 0.2920 0.2920  12 Cl 3.72-4.01
Cs: 0.7080 0.7080 0.7080  12 Cl 3.72-4.01
Cs: 0.8747 0.8747 0.8747  12 Cl 3.72-3.83
Tc: 0.0000 0.0000 0.0000  6 Cl 2.43
Tc: 0.5000 0.5000 0.5000  6 Cl 2.43
Ag: 0.4096 0.4096 0.4096  6 Cl 2.72-2.78
Ag: 0.5904 0.5904 0.5904  6 Cl 2.72-2.78
Cl: 0.1558 0.6152 0.6152  1 Tc 2.43
Cl: 0.1917 0.1917 0.7296  1 Tc 2.43, 1 Ag 2.72
Cl: 0.1917 0.7296 0.1917  1 Tc 2.43, 1 Ag 2.72
Cl: 0.2704 0.8083 0.8083  1 Tc 2.43, 1 Ag 2.72
Cl: 0.3848 0.3848 0.8442  1 Tc 2.43
Cl: 0.3848 0.8442 0.3848  1 Tc 2.43
Cl: 0.6152 0.1558 0.6152  1 Tc 2.43
Cl: 0.6152 0.6152 0.1558  1 Tc 2.43
Cl: 0.7296 0.1917 0.1917  1 Tc 2.43, 1 Ag 2.72
Cl: 0.8083 0.2704 0.8083  1 Tc 2.43, 1 Ag 2.72
Cl: 0.8083 0.8083 0.2704  1 Tc 2.43, 1 Ag 2.72
Cl: 0.8442 0.3848 0.3848  1 Tc 2.43



Entry 6:
VASP calculation (PBE-GGA) on CsAgTeCl6 after structural relaxation.

## Properties
- Density of states at the Fermi level: 0.00 states/eV per cell
- Space-group type: P1 (1)

Unit cell a=7.0756 b=7.1328 c=7.5695 alpha=89.91 beta=89.22 gamma=60.65
With the nearest neighbours (Å) after each atom.
Fractional coordinates of all 9 atoms:
Cs: 0.0000 0.0000 0.0000  6 Cl 3.53-3.54
Ag: 0.3341 0.3235 0.5001  6 Cl 2.71-2.89
Te: 0.6676 0.6566 0.5001  6 Cl 2.56-2.60
Cl: 0.3835 0.9626 0.3123  1 Te 2.57, 1 Ag 2.81
Cl: 0.3929 0.6210 0.7060  1 Te 2.58, 1 Ag 2.83
Cl: 0.6280 0.3777 0.3052  1 Te 2.60, 1 Ag 2.71
Cl: 0.6470 0.9601 0.6934  1 Te 2.56
Cl: 0.9726 0.6274 0.2945  1 Te 2.57
Cl: 0.9840 0.3758 0.6891  1 Te 2.60, 1 Ag 2.71



Entry 7:
VASP calculation (PBE-GGA) on CsTi2AgCl8 after structural relaxation.

## Properties
- Density of states at the Fermi level: 12.64 states/eV per cell
- Space-group type: P-3 (147)

Unit cell a=6.7959 b=6.7959 c=9.7629 alpha=90.00 beta=90.00 gamma=120.00
With the nearest neighbours (Å) after each atom.
Fractional coordinates of all 12 atoms:
Cs: 0.0000 0.0000 0.0000  12 Cl 3.86-3.93
Ti: 0.3333 0.6667 0.7396  4 Cl 2.27-2.29
Ti: 0.6667 0.3333 0.2604  4 Cl 2.27-2.29
Ag: 0.0000 0.0000 0.5000  6 Cl 2.78
Cl: 0.0216 0.3334 0.6743  1 Ti 2.29
Cl: 0.3118 0.9784 0.6743  1 Ti 2.29
Cl: 0.3334 0.3118 0.3257  1 Ti 2.29
Cl: 0.3333 0.6667 0.9726  1 Ti 2.27
Cl: 0.6667 0.3333 0.0274  1 Ti 2.27
Cl: 0.6666 0.6882 0.6743  1 Ti 2.29
Cl: 0.6882 0.0216 0.3257  1 Ti 2.29
Cl: 0.9784 0.6666 0.3257  1 Ti 2.29



Entry 8:
VASP calculation (PBE-GGA) on Cs2TlAg3Cl6 after structural relaxation.

## Properties
- Space-group type: P4/mmm (123)

Unit cell a=5.2825 b=5.2825 c=15.6311 alpha=90.00 beta=90.00 gamma=90.00
With the nearest neighbours (Å) after each atom.
Fractional coordinates of all 12 atoms:
Cs: 0.0000 0.0000 0.2178  8 Cl 3.51-3.88
Cs: 0.0000 0.0000 0.7822  8 Cl 3.51-3.88
Tl: 0.0000 0.0000 0.5000  8 Cl 3.37
Ag: 0.5000 0.5000 0.0000  2 Cl 2.34
Ag: 0.5000 0.5000 0.3608  4 Cl 2.64
Ag: 0.5000 0.5000 0.6392  4 Cl 2.64
Cl: 0.0000 0.5000 0.3658  2 Ag 2.64
Cl: 0.0000 0.5000 0.6342  2 Ag 2.64
Cl: 0.5000 0.0000 0.3658  2 Ag 2.64
Cl: 0.5000 0.0000 0.6342  2 Ag 2.64
Cl: 0.5000 0.5000 0.1497  1 Ag 2.34
Cl: 0.5000 0.5000 0.8503  1 Ag 2.34



Entry 9:
VASP calculation (PBE-GGA) on Cs2TlAg2Cl7 after structural relaxation.

## Properties
- Density of states at the Fermi level: 3.16 states/eV per cell
- Space-group type: I4/mmm (139)

Unit cell a=13.9729 b=13.9729 c=13.9729 alpha=158.48 beta=158.48 gamma=30.62
With the nearest neighbours (Å) after each atom.
Fractional coordinates of all 12 atoms:
Cs: 0.1795 0.1795 0.0000  9 Cl 3.54-3.70
Cs: 0.8205 0.8205 0.0000  9 Cl 3.54-3.70
Tl: 0.0000 0.0000 0.0000  12 Cl 3.53-3.69
Ag: 0.4064 0.4064 0.0000  6 Cl 2.52-2.61
Ag: 0.5936 0.5936 0.0000  6 Cl 2.52-2.61
Cl: 0.0885 0.5885 0.5000  2 Ag 2.61
Cl: 0.3109 0.3109 0.0000  1 Ag 2.57
Cl: 0.4115 0.9115 0.5000  2 Ag 2.61
Cl: 0.5000 0.5000 0.0000  2 Ag 2.52
Cl: 0.5885 0.0885 0.5000  2 Ag 2.61
Cl: 0.6891 0.6891 0.0000  1 Ag 2.57
Cl: 0.9115 0.4115 0.5000  2 Ag 2.61



Entry 10:
VASP calculation (PBE-GGA) on CsTl2AgCl8 after structural relaxation.

## Properties
- Space-group type: R-3 (148)

Unit cell a=10.5521 b=10.5521 c=10.5521 alpha=37.82 beta=37.82 gamma=37.82
With the nearest neighbours (Å) after each atom.
Fractional coordinates of all 12 atoms:
Cs: 0.0000 0.0000 0.0000  12 Cl 3.95
Tl: 0.2439 0.2439 0.2439  4 Cl 2.48
Tl: 0.7561 0.7561 0.7561  4 Cl 2.48
Ag: 0.5000 0.5000 0.5000  6 Cl 2.77
Cl: 0.1246 0.4258 0.7858  1 Tl 2.48, 1 Ag 2.77
Cl: 0.2142 0.8754 0.5742  1 Tl 2.48, 1 Ag 2.77
Cl: 0.3285 0.3285 0.3285  1 Tl 2.48
Cl: 0.4258 0.7858 0.1246  1 Tl 2.48, 1 Ag 2.77
Cl: 0.5742 0.2142 0.8754  1 Tl 2.48, 1 Ag 2.77
Cl: 0.6715 0.6715 0.6715  1 Tl 2.48
Cl: 0.7858 0.1246 0.4258  1 Tl 2.48, 1 Ag 2.77
Cl: 0.8754 0.5742 0.2142  1 Tl 2.48, 1 Ag 2.77



Entry 11:
VASP calculation (PBE-GGA) on CsTlAg2Cl5 after structural relaxation.

## Properties
- Density of states at the Fermi level: 1.95 states/eV per cell
- Space-group type: P4/mmm (123)

Unit cell a=5.0825 b=5.0825 c=10.4548 alpha=90.00 beta=90.00 gamma=90.00
With the nearest neighbours (Å) after each atom.
Fractional coordinates of all 9 atoms:
Cs: 0.0000 0.0000 0.0000  12 Cl 3.59-3.99
Tl: 0.0000 0.0000 0.5000  8 Cl 3.33
Ag: 0.5000 0.5000 0.2613  5 Cl 2.56-2.73
Ag: 0.5000 0.5000 0.7387  5 Cl 2.56-2.73
Cl: 0.0000 0.5000 0.2940  2 Ag 2.56
Cl: 0.0000 0.5000 0.7060  2 Ag 2.56
Cl: 0.5000 0.0000 0.2940  2 Ag 2.56
Cl: 0.5000 0.0000 0.7060  2 Ag 2.56
Cl: 0.5000 0.5000 0.0000  2 Ag 2.73



Entry 12:
VASP calculation (PBE-GGA) on Cs3Tl4AgCl8 after structural relaxation.

## Properties
- Density of states at the Fermi level: 0.00 states/eV per cell
- Space-group type: C2/m (12)

Unit cell a=9.4057 b=9.4057 c=9.2713 alpha=118.65 beta=118.65 gamma=59.77
With the nearest neighbours (Å) after each atom.
Fractional coordinates of all 16 atoms:
Cs: 0.0000 0.0000 0.0000  6 Cl 3.42-3.49
Cs: 0.0000 0.5000 0.0000  6 Cl 3.39-3.51
Cs: 0.5000 0.0000 0.0000  6 Cl 3.39-3.51
Tl: 0.0000 0.0000 0.5000  2 Cl 3.03
Tl: 0.0000 0.5000 0.5000  6 Cl 3.20-3.36
Tl: 0.5000 0.0000 0.5000  6 Cl 3.20-3.36
Tl: 0.5000 0.5000 0.5000  6 Cl 3.25-3.31
Ag: 0.5000 0.5000 0.0000  4 Cl 2.80
Cl: 0.2230 0.2230 0.7095  3 Tl 3.03-3.23
Cl: 0.2566 0.2566 0.2710  3 Tl 3.20-3.31, 3 Cs 3.39-3.49
Cl: 0.2879 0.6997 0.7755  1 Ag 2.80
Cl: 0.3003 0.7121 0.2245  1 Ag 2.80
Cl: 0.6997 0.2879 0.7755  1 Ag 2.80
Cl: 0.7121 0.3003 0.2245  1 Ag 2.80
Cl: 0.7434 0.7434 0.7290  3 Tl 3.20-3.31, 3 Cs 3.39-3.49
Cl: 0.7770 0.7770 0.2905  3 Tl 3.03-3.23



no.,density (g cm⁻³),M_tot (μB/f.u.),VASP energy (eV per cell)
1,3.92,0.44,-53.3
2,3.46,0.00,-63.7
3,4.03,0.00,-37.1
4,2.96,2.91,-67.8
5,3.81,2.00,-75.1
6,2.90,0.00,-26.1
7,2.64,2.00,-51.2
8,3.83,0.00,-36.1
9,4.23,0.00,-35.3
10,3.91,0.00,-33.7
11,4.49,0.00,-26.5
12,4.52,0.00,-49.8